1:
{
  "formula": "K5I2O",
  "functional": "GGA-PBE",
  "state": "optimized geometry",
  "dos_ef_per_ev_cell": 7.59,
  "total_magnetization_mub_per_atom": 0.057,
  "lattice_angstrom": [[-2.5029, -3.9950, -6.3069], [10.2848, -2.0328, -2.7938], [-0.3044, -13.1814, 8.4703]],
  "species": ["K", "K", "I", "O", "K", "K", "K", "K", "K", "K", "K", "K", "I", "K", "K", "O", "K", "I", "K", "K", "K", "I", "K", "O", "K", "I", "I", "I", "K", "K", "I", "O"],
  "frac_coords": [[0.4826, 0.3166, 0.1088], [0.4826, 0.8166, 0.3912], [0.2500, 0.4396, 0.6980], [0.2500, 0.6655, 0.4482], [0.7500, 0.4343, 0.7054], [0.9826, 0.6834, 0.8912], [0.2500, 0.2658, 0.9000], [0.5174, 0.6834, 0.8912], [0.0174, 0.8166, 0.3912], [0.5000, 0.0000, 0.0000], [0.2500, 0.0657, 0.2054], [0.7500, 0.2342, 0.4000], [0.7500, 0.9018, 0.5605], [0.7500, 0.9343, 0.7946], [0.0000, 0.5000, 0.5000], [0.2500, 0.1655, 0.0518], [0.0174, 0.3166, 0.1088], [0.2500, 0.5982, 0.0605], [0.5174, 0.1834, 0.6088], [0.2500, 0.7658, 0.6000], [0.2500, 0.5657, 0.2946], [0.7500, 0.4018, 0.9395], [0.0000, 0.0000, 0.0000], [0.7500, 0.3345, 0.5518], [0.9826, 0.1834, 0.6088], [0.7500, 0.0604, 0.1980], [0.2500, 0.0982, 0.4395], [0.7500, 0.5604, 0.3020], [0.7500, 0.7342, 0.1000], [0.5000, 0.5000, 0.5000], [0.2500, 0.9396, 0.8020], [0.7500, 0.8345, 0.9482]]
}



2:
{
  "formula": "K5I2O",
  "functional": "GGA-PBE",
  "state": "optimized geometry",
  "dos_ef_per_ev_cell": 4.04,
  "total_magnetization_mub_per_atom": 0.068,
  "lattice_angstrom": [[-0.0519, -4.5232, -4.4555], [7.8215, 1.9492, 2.4540], [-0.7685, -11.0465, 11.2234]],
  "species": ["K", "K", "I", "K", "K", "K", "I", "I", "K", "K", "O", "K", "I", "O", "K", "K"],
  "frac_coords": [[0.6924, 0.3847, 0.2500], [0.0596, 0.1192, 0.3624], [0.1568, 0.3135, 0.9351], [0.7067, 0.4135, 0.8700], [0.9404, 0.8808, 0.6376], [0.0596, 0.1192, 0.1376], [0.8432, 0.6865, 0.4351], [0.8432, 0.6865, 0.0649], [0.2933, 0.5865, 0.1300], [0.3076, 0.6153, 0.7500], [0.1802, 0.3604, 0.2500], [0.7067, 0.4135, 0.6300], [0.1568, 0.3135, 0.5649], [0.8198, 0.6396, 0.7500], [0.9404, 0.8808, 0.8624], [0.2933, 0.5865, 0.3700]]
}



Most stable to least stable, the ends of the list are 1 and 2.



1:
{
  "formula": "KPI2O",
  "functional": "GGA-PBE",
  "state": "optimized geometry",
  "dos_ef_per_ev_cell": 1.37,
  "total_magnetization_mub_per_atom": 0.000,
  "lattice_angstrom": [[5.9950, 0.0000, 0.0000], [0.0000, 5.9950, 0.0000], [0.0000, 0.0000, 3.6643]],
  "species": ["P", "I", "K", "I", "O"],
  "frac_coords": [[0.0000, 0.0000, 0.0000], [0.0000, 0.5000, 0.0000], [0.5000, 0.5000, 0.5000], [0.5000, 0.0000, 0.0000], [0.0000, 0.0000, 0.5000]]
}



2:
{
  "formula": "KPI2O",
  "functional": "GGA-PBE",
  "state": "optimized geometry",
  "dos_ef_per_ev_cell": 9.34,
  "total_magnetization_mub_per_atom": 0.000,
  "lattice_angstrom": [[-1.4139, 6.0137, -0.7128], [-5.8579, -1.1726, 1.7266], [1.0520, 0.7291, 4.0643]],
  "species": ["O", "K", "I", "P", "I"],
  "frac_coords": [[0.0000, 0.0000, 0.5000], [0.0000, 0.0000, 0.0000], [0.5000, 0.0000, 0.0000], [0.5000, 0.5000, 0.5000], [0.0000, 0.5000, 0.0000]]
}



Most stable to least stable, the ends of the list are 1 and 2.



1:
{
  "formula": "KPIO2",
  "functional": "GGA-PBE",
  "state": "optimized geometry",
  "dos_ef_per_ev_cell": 2.17,
  "total_magnetization_mub_per_atom": 0.074,
  "lattice_angstrom": [[-0.6825, 3.5594, -1.9436], [-1.2312, -2.0597, -3.3397], [-5.1749, 0.0370, 1.8849]],
  "species": ["P", "O", "K", "O", "I"],
  "frac_coords": [[0.0000, 0.0000, 0.0000], [0.5000, 0.0000, 0.0000], [0.5000, 0.5000, 0.5000], [0.0000, 0.5000, 0.0000], [0.0000, 0.0000, 0.5000]]
}



2:
{
  "formula": "KPIO2",
  "functional": "GGA-PBE",
  "state": "optimized geometry",
  "dos_ef_per_ev_cell": 4.37,
  "total_magnetization_mub_per_atom": 0.844,
  "lattice_angstrom": [[-1.9831, 3.0776, -2.7100], [2.0866, -1.8341, -3.6098], [-5.8244, -4.6412, -1.0086]],
  "species": ["I", "O", "O", "P", "K"],
  "frac_coords": [[0.5000, 0.5000, 0.5000], [0.5000, 0.0000, 0.0000], [0.0000, 0.5000, 0.0000], [0.0000, 0.0000, 0.5000], [0.0000, 0.0000, 0.0000]]
}



3:
{
  "formula": "KPIO2",
  "functional": "GGA-PBE",
  "state": "optimized geometry",
  "dos_ef_per_ev_cell": 3.89,
  "total_magnetization_mub_per_atom": 0.917,
  "lattice_angstrom": [[-0.0460, 4.5951, -0.1860], [-1.7694, -0.1893, -4.2409], [-6.7912, 0.0465, 2.8313]],
  "species": ["I", "O", "P", "K", "O"],
  "frac_coords": [[0.0000, 0.0000, 0.5000], [0.5000, 0.0000, 0.0000], [0.5000, 0.5000, 0.5000], [0.0000, 0.0000, 0.0000], [0.0000, 0.5000, 0.0000]]
}



4:
{
  "formula": "KPIO2",
  "functional": "GGA-PBE",
  "state": "optimized geometry",
  "dos_ef_per_ev_cell": 2.63,
  "total_magnetization_mub_per_atom": 0.208,
  "lattice_angstrom": [[4.3020, 0.0000, 0.0000], [0.0000, 4.3020, 0.0000], [0.0000, 0.0000, 5.2650]],
  "species": ["I", "K", "O", "O", "P"],
  "frac_coords": [[0.0000, 0.0000, 0.0000], [0.5000, 0.5000, 0.5000], [0.5000, 0.0000, 0.0000], [0.0000, 0.5000, 0.0000], [0.0000, 0.0000, 0.5000]]
}



Most stable to least stable, the ends of the list are 1 and 2.



1:
{
  "formula": "KPbI2O",
  "functional": "GGA-PBE",
  "state": "optimized geometry",
  "dos_ef_per_ev_cell": 0.71,
  "total_magnetization_mub_per_atom": 0.000,
  "lattice_angstrom": [[6.1994, 0.0000, 0.0000], [0.0000, 6.1994, 0.0000], [0.0000, 0.0000, 4.2345]],
  "species": ["I", "O", "Pb", "K", "I"],
  "frac_coords": [[0.0000, 0.5000, 0.0000], [0.0000, 0.0000, 0.5000], [0.0000, 0.0000, 0.0000], [0.5000, 0.5000, 0.5000], [0.5000, 0.0000, 0.0000]]
}



2:
{
  "formula": "KPbI2O",
  "functional": "GGA-PBE",
  "state": "optimized geometry",
  "dos_ef_per_ev_cell": 6.76,
  "total_magnetization_mub_per_atom": 0.230,
  "lattice_angstrom": [[-2.8338, 4.7233, -3.1556], [-1.9688, -4.1246, -4.4057], [-3.9362, -0.7299, 2.4423]],
  "species": ["K", "I", "I", "Pb", "O"],
  "frac_coords": [[0.0000, 0.0000, 0.0000], [0.5000, 0.0000, 0.0000], [0.0000, 0.5000, 0.0000], [0.5000, 0.5000, 0.5000], [0.0000, 0.0000, 0.5000]]
}



Most stable to least stable, the ends of the list are 1 and 2.